[1]
Below is an optimized crystal structure of Al2ZnTc, with properties calculated at the PBEsol level.

a b c (Å): 3.2315 3.2315 5.4526
angles (deg): 90.00 90.00 90.00
Sites, in units of the cell vectors:
Al: 0.0000 0.0000 0.2360
Al: 0.0000 0.0000 0.7640
Zn: 0.5000 0.5000 0.5000
Tc: 0.5000 0.5000 0.0000

## Properties
Energy of formation ... -0.281 eV per atom
VASP energy ... -5.54 eV/atom
Magnetic moment ... 0.000 μB per atom

[2]
Below is an optimized crystal structure of Al2ZnTc, with properties calculated at the PBEsol level.

a b c (Å): 3.7706 3.7706 7.9052
angles (deg): 90.00 90.00 90.00
Sites, in units of the cell vectors:
Al: 0.0000 0.5000 0.2500
Al: 0.0000 0.5000 0.7500
Al: 0.5000 0.0000 0.2500
Al: 0.5000 0.0000 0.7500
Zn: 0.0000 0.0000 0.0000
Zn: 0.5000 0.5000 0.5000
Tc: 0.0000 0.0000 0.5000
Tc: 0.5000 0.5000 0.0000

## Properties
Energy of formation ... -0.282 eV per atom
VASP energy ... -5.54 eV/atom
Magnetic moment ... 0.144 μB per atom

[3]
Below is an optimized crystal structure of Al2ZnTc, with properties calculated at the PBEsol level.

a b c (Å): 3.6789 3.6789 8.2552
angles (deg): 90.00 90.00 90.00
Sites, in units of the cell vectors:
Al: 0.0000 0.0000 0.0000
Al: 0.0000 0.5000 0.2500
Al: 0.5000 0.0000 0.7500
Al: 0.5000 0.5000 0.5000
Zn: 0.0000 0.5000 0.7500
Zn: 0.5000 0.0000 0.2500
Tc: 0.0000 0.0000 0.5000
Tc: 0.5000 0.5000 0.0000

## Properties
Energy of formation ... -0.286 eV per atom
VASP energy ... -5.54 eV/atom
Magnetic moment ... 0.187 μB per atom

[4]
Below is an optimized crystal structure of Al2ZnTc, with properties calculated at the PBEsol level.

a b c (Å): 2.8174 2.8174 25.8116
angles (deg): 90.00 90.00 120.00
Sites, in units of the cell vectors:
Al: 0.0000 0.0000 0.0000
Al: 0.0000 0.0000 0.2448
Al: 0.3333 0.6667 0.6667
Al: 0.3333 0.6667 0.9115
Al: 0.6667 0.3333 0.3333
Al: 0.6667 0.3333 0.5781
Zn: 0.0000 0.0000 0.7511
Zn: 0.3333 0.6667 0.4178
Zn: 0.6667 0.3333 0.0845
Tc: 0.0000 0.0000 0.4993
Tc: 0.3333 0.6667 0.1659
Tc: 0.6667 0.3333 0.8326

## Properties
Energy of formation ... 0.029 eV per atom
VASP energy ... -5.23 eV/atom
Magnetic moment ... 0.004 μB per atom

[5]
Below is an optimized crystal structure of ZrAl2Tc, with properties calculated at the PBEsol level.

a b c (Å): 2.9174 2.9174 27.1142
angles (deg): 90.00 90.00 120.00
Sites, in units of the cell vectors:
Zr: 0.0000 0.0000 0.0000
Zr: 0.3333 0.6667 0.6667
Zr: 0.6667 0.3333 0.3333
Al: 0.0000 0.0000 0.2403
Al: 0.0000 0.0000 0.7597
Al: 0.3333 0.6667 0.4263
Al: 0.3333 0.6667 0.9070
Al: 0.6667 0.3333 0.0930
Al: 0.6667 0.3333 0.5737
Tc: 0.0000 0.0000 0.5000
Tc: 0.3333 0.6667 0.1667
Tc: 0.6667 0.3333 0.8333

## Properties
Excess energy over the best structure of this formula in the dataset ... 252 meV per atom
Energy of formation ... -0.104 eV per atom
VASP energy ... -7.24 eV/atom
Magnetic moment ... 0.000 μB per atom

[6]
Below is an optimized crystal structure of ZrAl2Tc, with properties calculated at the PBEsol level.

a b c (Å): 3.2903 3.2903 6.0792
angles (deg): 90.00 90.00 90.00
Sites, in units of the cell vectors:
Zr: 0.0000 0.0000 0.0000
Al: 0.0000 0.0000 0.5378
Al: 0.5000 0.5000 0.3022
Tc: 0.5000 0.5000 0.7570

## Properties
Excess energy over the best structure of this formula in the dataset ... 0 meV per atom
Energy of formation ... -0.356 eV per atom
VASP energy ... -7.49 eV/atom
Magnetic moment ... 0.000 μB per atom